Record 1
MnSiPO2 | PBE with a Hubbard U | relaxed Values from VASP.

Results
raw total energy = -29.4 eV per cell
space-group type = P4/mmm (123)

```
&SYSTEM
  ibrav = 0, nat = 5, ntyp = 4
/
ATOMIC_SPECIES
Mn 54.94 Mn.upf
Si 28.09 Si.upf
P 30.97 P.upf
O 16.00 O.upf
CELL_PARAMETERS angstrom
3.6746 0.0000 0.0000
0.0000 3.6746 0.0000
0.0000 0.0000 5.0039
ATOMIC_POSITIONS crystal
Mn 0.0000 0.0000 0.0000
Si 0.5000 0.5000 0.5000
P 0.0000 0.0000 0.5000
O 0.0000 0.5000 0.0000
O 0.5000 0.0000 0.0000
```

***

Record 2
SmMnP2O8 | PBE with a Hubbard U | relaxed Values from VASP.

Results
raw total energy = -90.3 eV per cell
space-group type = P-3m1 (164)

```
&SYSTEM
  ibrav = 0, nat = 12, ntyp = 4
/
ATOMIC_SPECIES
Sm 150.36 Sm.upf
Mn 54.94 Mn.upf
P 30.97 P.upf
O 16.00 O.upf
CELL_PARAMETERS angstrom
5.1047 0.0000 0.0000
-2.5523 4.4208 0.0000
0.0000 0.0000 6.5878
ATOMIC_POSITIONS crystal
Sm 0.0000 0.0000 0.0000
Mn 0.0000 0.0000 0.5000
P 0.3333 0.6667 0.2344
P 0.6667 0.3333 0.7656
O 0.1663 0.3327 0.3041
O 0.1663 0.8337 0.3041
O 0.3327 0.1663 0.6959
O 0.3333 0.6667 0.0014
O 0.6667 0.3333 0.9986
O 0.6673 0.8337 0.3041
O 0.8337 0.1663 0.6959
O 0.8337 0.6673 0.6959
```

***

Record 3
Mn2SnPO | PBE with a Hubbard U | relaxed Values from VASP.

Results
raw total energy = -23.1 eV per cell
space-group type = P4/mmm (123)

```
&SYSTEM
  ibrav = 0, nat = 5, ntyp = 4
/
ATOMIC_SPECIES
Mn 54.94 Mn.upf
Sn 118.71 Sn.upf
P 30.97 P.upf
O 16.00 O.upf
CELL_PARAMETERS angstrom
5.3223 0.0000 0.0000
0.0000 5.3223 0.0000
0.0000 0.0000 4.8635
ATOMIC_POSITIONS crystal
Mn 0.0000 0.5000 0.0000
Mn 0.5000 0.0000 0.0000
Sn 0.0000 0.0000 0.0000
P 0.0000 0.0000 0.5000
O 0.5000 0.5000 0.5000
```

***

Record 4
Mn7SnP12O48 | PBE with a Hubbard U | relaxed Values from VASP.

Results
raw total energy = -477.2 eV per cell
space-group type = P1 (1)

```
&SYSTEM
  ibrav = 0, nat = 68, ntyp = 4
/
ATOMIC_SPECIES
Mn 54.94 Mn.upf
Sn 118.71 Sn.upf
P 30.97 P.upf
O 16.00 O.upf
CELL_PARAMETERS angstrom
8.2975 0.0000 0.0000
0.0056 8.5490 0.0000
0.1687 0.0219 11.7287
ATOMIC_POSITIONS crystal
Mn 0.0000 0.0000 0.0000
Mn 0.0001 0.4979 0.7320
Mn 0.4949 0.5013 0.9994
Mn 0.4991 0.9415 0.2283
Mn 0.5008 0.4414 0.4991
Mn 0.5032 0.9990 0.7279
Mn 0.9991 0.9387 0.5020
Sn 0.0005 0.4404 0.2359
P 0.1373 0.8547 0.7611
P 0.1468 0.5905 0.4752
P 0.2184 0.7262 0.1062
P 0.2893 0.2165 0.1199
P 0.3572 0.3527 0.7627
P 0.3595 0.0844 0.4696
P 0.6290 0.5869 0.2586
P 0.6440 0.8523 0.9671
P 0.7166 0.7176 0.6077
P 0.7862 0.2218 0.6194
P 0.8567 0.3522 0.9680
P 0.8583 0.0762 0.2662
O 0.0210 0.5052 0.4027
O 0.0298 0.9135 0.6631
O 0.0652 0.7988 0.0545
O 0.0820 0.6899 0.7998
O 0.1173 0.9700 0.8611
O 0.1212 0.5479 0.6009
O 0.1421 0.7713 0.4624
O 0.1682 0.6054 0.1964
O 0.1789 0.0892 0.5058
O 0.1814 0.3930 0.7981
O 0.1919 0.2830 0.2217
O 0.1932 0.0969 0.0497
O 0.3095 0.8557 0.1690
O 0.3177 0.5419 0.4348
O 0.3186 0.6538 0.0061
O 0.3186 0.8510 0.7266
O 0.3374 0.3430 0.0309
O 0.3714 0.1729 0.7801
O 0.3760 0.9780 0.3645
O 0.3932 0.3946 0.6384
O 0.4153 0.2505 0.4354
O 0.4453 0.1410 0.1650
O 0.4667 0.0210 0.5667
O 0.4738 0.4472 0.8386
O 0.5223 0.5290 0.1598
O 0.5295 0.9504 0.8918
O 0.5672 0.6422 0.5536
O 0.5672 0.7484 0.2982
O 0.6139 0.4699 0.3584
O 0.6144 0.8885 0.0933
O 0.6287 0.6734 0.9463
O 0.6589 0.8371 0.6982
O 0.6761 0.3524 0.0060
O 0.6813 0.0343 0.2981
O 0.6841 0.1474 0.7178
O 0.6927 0.3450 0.5513
O 0.8082 0.5939 0.2220
O 0.8118 0.5936 0.6737
O 0.8185 0.7922 0.5095
O 0.8206 0.8916 0.9334
O 0.8427 0.0999 0.5304
O 0.8717 0.2519 0.2950
O 0.8743 0.4634 0.8654
O 0.8929 0.0469 0.1397
O 0.9053 0.1847 0.9315
O 0.9366 0.2976 0.6722
O 0.9651 0.4077 0.0646
O 0.9721 0.9738 0.3392
```

***

Q: Which size of the total moment values were calculated for the entries above? A: 3.0, 2.0, 9.5, 16.6, in μB/f.u..